Record 1
Crystalline BeFeSb at its relaxed geometry. Source: Alexandria, functional PBEsol.

Geometry as extended XYZ:
```
3
Lattice="-1.594 1.594 3.844 1.594 -1.594 3.844 1.594 1.594 -3.844" Properties=species:S:1:pos:R:3 pbc="T T T"
Be 0.000 0.000 0.000
Fe 0.000 0.000 2.719
Sb 0.000 0.000 5.240
```

The space group is No. 107. The formation energy (no corrections) is 37.1 kJ/mol of formula units.


Record 2
Crystalline Nb3GeSe at its relaxed geometry. Source: Alexandria, functional PBEsol.

Geometry as extended XYZ:
```
5
Lattice="4.690 0.000 0.000 0.000 4.690 0.000 0.000 0.000 4.690" Properties=species:S:1:pos:R:3 pbc="T T T"
Nb 0.000 0.000 2.345
Nb 0.000 2.345 0.000
Nb 2.345 0.000 0.000
Ge 2.345 2.345 2.345
Se 0.000 0.000 0.000
```

The space group is No. 221. The formation energy (no corrections) is 340.6 kJ/mol of formula units.


Record 3
Crystalline TiRe3Hg at its relaxed geometry. Source: Alexandria, functional PBEsol.

Geometry as extended XYZ:
```
5
Lattice="4.524 0.000 0.000 0.000 4.524 0.000 0.000 0.000 4.524" Properties=species:S:1:pos:R:3 pbc="T T T"
Ti 0.000 0.000 0.000
Re 0.000 0.000 2.262
Re 0.000 2.262 0.000
Re 2.262 0.000 0.000
Hg 2.262 2.262 2.262
```

The space group is No. 221. The calculation puts the energy of formation from the pure elements at 1997 meV per atom.


Record 4
Crystalline Sr2La6TiCu3O16 at its relaxed geometry. Source: Alexandria, functional PBEsol.

Geometry as extended XYZ:
```
28
Lattice="2.675 -6.482 0.000 2.675 6.482 0.000 0.000 0.000 10.706" Properties=species:S:1:pos:R:3 pbc="T T T"
Sr 2.675 4.617 0.000
Sr 2.675 -4.617 0.000
La 2.675 4.686 5.353
La 2.675 1.808 2.749
La 2.675 1.808 7.957
La 2.675 -1.808 2.749
La 2.675 -1.808 7.957
La 2.675 -4.686 5.353
Ti 2.675 0.000 0.000
Cu 0.000 0.000 2.665
Cu 0.000 0.000 8.042
Cu 2.675 0.000 5.353
O 2.675 4.078 2.797
O 2.675 4.078 7.910
O 1.329 0.000 4.017
O 1.329 0.000 6.689
O 1.358 0.000 1.359
O 1.358 0.000 9.347
O 2.675 2.359 5.353
O 2.675 2.061 0.000
O 2.675 -2.061 0.000
O 2.675 -2.359 5.353
O 3.992 0.000 1.359
O 3.992 0.000 9.347
O 4.021 0.000 4.017
O 4.021 0.000 6.689
O 2.675 -4.078 2.797
O 2.675 -4.078 7.910
```

The space group is No. 65. The formation energy (no corrections) is -7385.9 kJ/mol of formula units.


| no. | E_tot (eV/cell) | theoretical density (Mg/m³) |
| --- | --- | --- |
| 1 | -17.1 | 7.927 |
| 2 | -37.7 | 6.927 |
| 3 | -38.9 | 14.477 |
| 4 | -217.6 | 6.723 |